Entry from Alexandria via LeMat-Bulk: B5C7 after structural relaxation (PBE-GGA).

Properties
Energy above the lowest structure with this stoichiometry, eV/f.u.: 1.337
ΔH_f (0 K), eV/f.u.: 4.43

extended XYZ file:
```
12
Lattice="3.808 -0.110 -2.013 2.981 2.372 -2.013 0.142 0.047 8.356" Properties=species:S:1:pos:R:3 pbc="T T T"
C 0.106 0.035 4.228
B 1.821 0.607 -0.164
C 1.296 0.432 5.205
C 1.243 0.414 1.310
B 0.034 0.011 0.221
B 2.332 0.777 4.037
C 5.771 1.924 1.116
C 4.616 1.539 4.014
B 3.572 1.191 1.313
C 5.428 1.809 -3.072
B 3.889 1.296 5.401
C 4.580 1.527 0.124
```

Entry from Alexandria via LeMat-Bulk: KBaRu4 after structural relaxation (PBE-GGA).

Properties
ΔH_f (0 K), eV/f.u.: 5.15

extended XYZ file:
```
6
Lattice="0.000 3.939 3.939 3.939 0.000 3.939 3.939 3.939 0.000" Properties=species:S:1:pos:R:3 pbc="T T T"
Ru 4.924 4.924 2.953
Ru 4.924 2.953 4.924
Ru 2.953 4.924 4.924
Ru 2.953 2.953 2.953
Ba 5.908 5.908 5.908
K 0.000 0.000 0.000
```

Entry from Alexandria via LeMat-Bulk: SiH2Pb2 after structural relaxation (PBE-GGA).

Properties
Energy above the lowest structure with this stoichiometry, eV/f.u.: 0.000

extended XYZ file:
```
5
Lattice="-2.236 -2.353 -1.606 -0.001 -2.041 2.991 -6.428 1.247 3.040" Properties=species:S:1:pos:R:3 pbc="T T T"
Si 0.000 0.000 0.000
H -4.892 -1.651 1.063
H -3.774 -1.496 3.362
Pb -6.075 -1.905 3.082
Pb -2.591 -1.242 1.344
```

Entry from Alexandria via LeMat-Bulk: NaUGaCl6 after structural relaxation (PBE-GGA).

Properties
ΔE_f (raw), meV/atom: -1534

extended XYZ file:
```
18
Lattice="-0.318 7.084 0.478 -3.055 -3.332 -5.484 -11.027 -0.948 6.718" Properties=species:S:1:pos:R:3 pbc="T T T"
Ga -5.513 -0.474 3.359
Cl -10.080 -1.410 -0.936
Cl -11.561 -2.839 2.241
Cl -5.212 1.112 0.744
Cl -10.789 0.397 3.965
Cl -1.661 2.406 0.947
Cl -2.838 5.643 -0.529
Na -9.500 2.901 3.529
Cl -9.187 1.692 0.968
Cl -6.280 4.468 -0.535
Cl -12.739 0.398 0.765
Ga 0.000 0.000 0.000
Cl -4.319 4.214 2.648
Cl -3.611 2.407 -2.253
U -3.987 3.375 0.170
Cl -8.119 -1.664 2.247
Na -4.899 -0.097 -1.817
U -10.413 -0.571 1.542
```

Entry from Alexandria via LeMat-Bulk: CdAg2Sn after structural relaxation (PBE-GGA).

Properties
ΔH_f (0 K), eV/f.u.: 0.03

extended XYZ file:
```
8
Lattice="4.787 0.000 0.000 0.000 5.989 -0.305 0.000 0.244 5.853" Properties=species:S:1:pos:R:3 pbc="T T T"
Ag 1.197 5.149 -0.015
Ag 1.197 3.981 3.068
Cd 1.197 2.294 0.619
Sn 3.591 5.242 1.858
Sn 1.197 0.990 3.691
Ag 3.591 1.084 5.563
Cd 3.591 3.938 4.930
Ag 3.591 2.252 2.481
```

Entry from Alexandria via LeMat-Bulk: TbPmCdCo after structural relaxation (PBE-GGA).

Properties
Energy above the lowest structure with this stoichiometry, eV/f.u.: 0.414
ΔH_f (0 K), eV/f.u.: -0.38

extended XYZ file:
```
4
Lattice="-2.115 3.980 2.417 -3.370 2.976 -2.439 -4.944 -0.134 1.305" Properties=species:S:1:pos:R:3 pbc="T T T"
Co -7.822 5.117 0.963
Tb -5.215 3.411 0.642
Cd -2.607 1.706 0.321
Pm 0.000 0.000 0.000
```

Entry from Alexandria via LeMat-Bulk: CrCo2Ir after structural relaxation (PBE-GGA).

Properties
Energy above the lowest structure with this stoichiometry, eV/f.u.: 0.400
ΔH_f (0 K), eV/f.u.: 0.08

extended XYZ file:
```
4
Lattice="-3.834 0.394 -2.170 -4.357 -0.747 0.126 -1.401 3.865 1.601" Properties=species:S:1:pos:R:3 pbc="T T T"
Cr -4.788 1.802 -0.196
Co -1.394 3.791 1.566
Co -7.203 2.655 -0.323
Ir -2.403 0.884 -0.109
```

Entry from Alexandria via LeMat-Bulk: HRu after structural relaxation (PBE-GGA).

Properties
Raw total energy, eV/cell: -72.67

extended XYZ file:
```
12
Lattice="-4.479 7.672 2.244 -1.716 -0.392 -2.084 -2.711 -2.366 2.677" Properties=species:S:1:pos:R:3 pbc="T T T"
Ru -2.694 3.716 0.624
Ru -6.609 3.384 2.121
H -7.656 4.614 2.722
H -4.048 -1.567 0.915
Ru -4.673 5.247 1.971
H -1.077 -0.664 0.120
Ru -2.667 -1.499 -0.199
Ru -4.651 0.031 1.141
Ru -2.152 0.928 0.708
H -4.040 3.655 1.780
H -5.531 1.793 1.537
H -3.170 2.164 1.344
```

These records have density of states at the Fermi level values of 0.50; 7.08; 1.56; 10.83; 2.15; 2.83; 5.94; 7.21 states/eV per cell, in the order they appear.
These records have calculated volume values of 6.6; 20.4; 17.7; 31.5; 21.0; 23.7; 12.0; 9.3 Å³/atom, in the order they appear.